Entry 1:
Material: Li2AsPb
Method: DFT, GGA-PBE
State: relaxed

**Theoretical density**: 5.949 g/cm3
**Crystal system**: trigonal
**Polymorph energy (0 for the lowest one)**: 9.0 kJ per mole of atoms
**Total magnetic moment**: 0.00 μB per formula unit

abc: 9.115 9.115 9.115
angles: 20.67 20.67 20.67
Sites, in units of the cell vectors:
Li1 0.013 0.013 0.013
Pb1 0.250 0.250 0.250
As1 0.750 0.750 0.750
Li2 0.487 0.487 0.487


Entry 2:
Material: LiAs2Pb
Method: DFT, GGA-PBE
State: relaxed

**Electronic total energy**: -3.663 eV/atom
**Theoretical density**: 6.936 g/cm3
**Crystal system**: cubic
**Total magnetic moment**: 0.00 μB per formula unit

abc: 4.976 4.976 4.976
angles: 60.00 60.00 60.00
Sites, in units of the cell vectors:
Pb1 0.750 0.750 0.750
As1 0.250 0.250 0.250
Li1 0.500 0.500 0.500
As2 0.000 0.000 0.000